The following is a DFT calculation (GGA+U) of crystalline Na2CoO2 at its relaxed geometry.

Raw total energy: -4.657 eV per atom
ρ: 3.592 g/cm3
Volume: 126.6 Å³ per cell

Unit cell a=5.646 b=2.934 c=8.083 alpha=90.00 beta=109.03 gamma=90.00
Space group P2_1/m (No. 11)
One atom of each set of equivalent atoms:
Na (0.113, 0.250, 0.378) (multiplicity 2)
Na (0.176, 0.250, 0.943) (multiplicity 2)
Co (0.473, 0.750, 0.736) (multiplicity 2)
O (0.230, 0.250, 0.676) (multiplicity 2)
O (0.265, 0.750, 0.183) (multiplicity 2)